The following is a DFT calculation (PBE-GGA) of a relaxed structure of Ac6RhAu2N.

Cell lengths 7.2424, 7.9480, 12.9876 Å; angles 90.00, 122.13, 90.00 degrees
Fractional coordinates of all 20 atoms:
Ac 0.1123 0.2060 0.4435
Ac 0.1123 0.2940 0.9435
Ac 0.2447 0.6781 0.4353
Ac 0.2447 0.8219 0.9353
Ac 0.3692 0.0320 0.2401
Ac 0.3692 0.4680 0.7401
Ac 0.6308 0.5320 0.2599
Ac 0.6308 0.9680 0.7599
Ac 0.7553 0.1781 0.0647
Ac 0.7553 0.3219 0.5647
Ac 0.8877 0.7060 0.0565
Ac 0.8877 0.7940 0.5565
Rh 0.5000 0.0000 0.5000
Rh 0.5000 0.5000 0.0000
Au 0.1842 0.0980 0.7356
Au 0.1842 0.4020 0.2356
Au 0.8158 0.5980 0.7644
Au 0.8158 0.9020 0.2644
N 0.0000 0.0000 0.0000
N 0.0000 0.5000 0.5000

Computed properties:
- Crystal system: monoclinic
- Uncorrected energy: -107.571 eV for the cell shown

The following is a DFT calculation (PBE-GGA) of a relaxed structure of Ac5RhAu2N.

Cell lengths 9.6885, 9.6885, 13.9679 Å; angles 90.00, 90.00, 154.39 degrees
Fractional coordinates of all 18 atoms:
Ac 0.0038 0.9962 0.5000
Ac 0.1441 0.8559 0.7350
Ac 0.1847 0.8153 0.1070
Ac 0.2132 0.7868 0.4007
Ac 0.4575 0.5425 0.7375
Ac 0.5425 0.4575 0.2375
Ac 0.7868 0.2132 0.9007
Ac 0.8153 0.1847 0.6070
Ac 0.8559 0.1441 0.2350
Ac 0.9962 0.0038 0.0000
Rh 0.2952 0.7048 0.7550
Rh 0.7048 0.2952 0.2550
Au 0.3690 0.6310 0.0543
Au 0.3887 0.6113 0.4087
Au 0.6113 0.3887 0.9087
Au 0.6310 0.3690 0.5543
N 0.0542 0.9458 0.1501
N 0.9458 0.0542 0.6501

Computed properties:
- Crystal system: orthorhombic
- Uncorrected energy: -99.808 eV for the cell shown

The following is a DFT calculation (PBE-GGA) of a relaxed structure of Ac3RhAuN.

Cell lengths 9.2288, 4.2821, 9.6658 Å; angles 90.00, 100.92, 90.00 degrees
Fractional coordinates of all 12 atoms:
Ac 0.0681 0.2500 0.3413
Ac 0.3256 0.2500 0.9797
Ac 0.3799 0.7500 0.6457
Ac 0.6201 0.2500 0.3543
Ac 0.6744 0.7500 0.0203
Ac 0.9319 0.7500 0.6587
Rh 0.1509 0.2500 0.6443
Rh 0.8491 0.7500 0.3557
Au 0.3247 0.7500 0.2830
Au 0.6753 0.2500 0.7170
N 0.4179 0.7500 0.8938
N 0.5821 0.2500 0.1062

Computed properties:
- Crystal system: monoclinic
- Uncorrected energy: -72.407 eV for the cell shown

The following is a DFT calculation (PBE-GGA) of a relaxed structure of Ac8Rh3Au3N.

Cell lengths 8.5932, 8.5932, 8.9960 Å; angles 118.57, 118.57, 60.01 degrees
Fractional coordinates of all 15 atoms:
Ac 0.2257 0.2257 0.7087
Ac 0.2256 0.7571 0.7083
Ac 0.2429 0.7744 0.2917
Ac 0.2581 0.2581 0.2742
Ac 0.7419 0.7419 0.7258
Ac 0.7571 0.2256 0.7083
Ac 0.7744 0.2429 0.2917
Ac 0.7743 0.7743 0.2913
Rh 0.0000 0.5000 0.5000
Rh 0.5000 0.0000 0.5000
Rh 0.5000 0.5000 0.5000
Au 0.0000 0.0000 0.0000
Au 0.0000 0.5000 0.0000
Au 0.5000 0.0000 0.0000
N 0.0000 0.0000 0.5000

Computed properties:
- Crystal system: monoclinic
- Uncorrected energy: -83.982 eV for the cell shown

Which of these has the highest uncorrected energy? Ac3RhAuN